(1)
A geometry-optimized KBSBr2 structure. Source: Alexandria via LeMat-Bulk, functional PBE.

a = 6.071 Å, b = 6.071 Å, c = 5.779 Å
α = 90.00°, β = 90.00°, γ = 90.00°
Fractional positions:
K (0.000, 0.000, 0.000)
B (0.000, 0.000, 0.500)
S (0.500, 0.500, 0.500)
Br (0.000, 0.500, 0.000)
Br (0.500, 0.000, 0.000)

(2)
A geometry-optimized BeAlSb2 structure. Source: Alexandria via LeMat-Bulk, functional PBE.

a = 3.069 Å, b = 3.069 Å, c = 9.089 Å
α = 90.00°, β = 90.00°, γ = 101.36°
Fractional positions:
Be (0.000, 0.000, 0.000)
Al (0.500, 0.500, 0.832)
Sb (0.000, 0.000, 0.569)
Sb (0.500, 0.500, 0.205)

Computed properties:
Energy above the most stable polymorph in this dataset = 271 meV per atom

(3)
A geometry-optimized HoSc2OsO8 structure. Source: Alexandria via LeMat-Bulk, functional PBE.

a = 4.861 Å, b = 4.861 Å, c = 6.507 Å
α = 90.00°, β = 90.00°, γ = 90.22°
Fractional positions:
Ho (0.000, 0.000, 0.000)
Sc (0.500, 0.500, 0.240)
Sc (0.500, 0.500, 0.760)
Os (0.000, 0.000, 0.500)
O (0.194, 0.194, 0.286)
O (0.194, 0.194, 0.714)
O (0.274, 0.726, 0.500)
O (0.315, 0.685, 0.000)
O (0.685, 0.315, 0.000)
O (0.726, 0.274, 0.500)
O (0.806, 0.806, 0.286)
O (0.806, 0.806, 0.714)

How do the records compare in total magnetic moment? In the order shown, they have 2.943; 0.000; 1.037 μB/cell.
How do the records compare in ΔE_f (raw)? In the order shown, they have 1242; 353; -2524 meV per atom.
How do the records compare in calculated total energy? In the order shown, they have -0.0664; -0.1314; -0.3014 Ha/atom.